Arrangement P

# Gd2HfNi GGA-PBE optimized geometry
# - Calculated volume: 287 Å³ per cell
data_Gd2HfNi
_cell_length_a 3.4513
_cell_length_b 3.4513
_cell_length_c 27.8009
_cell_angle_alpha 90.00
_cell_angle_beta 90.00
_cell_angle_gamma 120.00
_space_group_name_H-M_alt 'R -3 m'
_space_group_IT_number 166
_space_group_name_Hall '-R 3 2"'
loop_
_atom_site_label
_atom_site_fract_x
_atom_site_fract_y
_atom_site_fract_z
_atom_site_occupancy
Gd1 0.0000 0.0000 0.2365 1
Hf1 0.0000 0.0000 0.0000 1
Ni1 0.0000 0.0000 0.5000 1

Arrangement Q

# Gd2HfNi GGA-PBE optimized geometry
# - Calculated volume: 93 Å³ per cell
data_Gd2HfNi
_cell_length_a 3.4175
_cell_length_b 3.4175
_cell_length_c 7.9473
_cell_angle_alpha 90.00
_cell_angle_beta 90.00
_cell_angle_gamma 90.00
_space_group_name_H-M_alt 'P 4/m m m'
_space_group_IT_number 123
_space_group_name_Hall '-P 4 2'
loop_
_atom_site_label
_atom_site_fract_x
_atom_site_fract_y
_atom_site_fract_z
_atom_site_occupancy
Gd1 0.0000 0.0000 0.2108 1
Hf1 0.5000 0.5000 0.5000 1
Ni1 0.5000 0.5000 0.0000 1

Which one sits at the top of the stability order? arrangement Q does.

Arrangement P

# PrGd2Hf GGA-PBE optimized geometry
# - Calculated volume: 119 Å³ per cell
data_PrGd2Hf
_cell_length_a 4.8995
_cell_length_b 4.8995
_cell_length_c 4.9558
_cell_angle_alpha 90.00
_cell_angle_beta 90.00
_cell_angle_gamma 90.00
_space_group_name_H-M_alt 'P 4/m m m'
_space_group_IT_number 123
_space_group_name_Hall '-P 4 2'
loop_
_atom_site_label
_atom_site_fract_x
_atom_site_fract_y
_atom_site_fract_z
_atom_site_occupancy
Pr1 0.0000 0.0000 0.0000 1
Gd1 0.0000 0.5000 0.5000 1
Hf1 0.5000 0.5000 0.0000 1

Arrangement Q

# PrGd2Hf GGA-PBE optimized geometry
# - Calculated volume: 121 Å³ per cell
data_PrGd2Hf
_cell_length_a 3.4339
_cell_length_b 3.4339
_cell_length_c 10.2336
_cell_angle_alpha 90.00
_cell_angle_beta 90.00
_cell_angle_gamma 90.00
_space_group_name_H-M_alt 'P 4/m m m'
_space_group_IT_number 123
_space_group_name_Hall '-P 4 2'
loop_
_atom_site_label
_atom_site_fract_x
_atom_site_fract_y
_atom_site_fract_z
_atom_site_occupancy
Pr1 0.0000 0.0000 0.0000 1
Gd1 0.5000 0.5000 0.2782 1
Hf1 0.0000 0.0000 0.5000 1

Which one sits at the top of the stability order? arrangement Q does.

Arrangement P

# GdPuHf GGA-PBE optimized geometry
# - Calculated volume: 76 Å³ per cell
data_GdPuHf
_cell_length_a 5.3220
_cell_length_b 5.3220
_cell_length_c 3.1092
_cell_angle_alpha 90.00
_cell_angle_beta 90.00
_cell_angle_gamma 120.00
_space_group_name_H-M_alt 'P -6 m 2'
_space_group_IT_number 187
_space_group_name_Hall 'P -6 2'
loop_
_atom_site_label
_atom_site_fract_x
_atom_site_fract_y
_atom_site_fract_z
_atom_site_occupancy
Gd1 0.0000 0.0000 0.0000 1
Pu1 0.6667 0.3333 0.0000 1
Hf1 0.3333 0.6667 0.5000 1

Arrangement Q

# GdPuHf GGA-PBE optimized geometry
# - Calculated volume: 159 Å³ per cell
data_GdPuHf
_cell_length_a 3.3047
_cell_length_b 3.3047
_cell_length_c 14.5200
_cell_angle_alpha 90.00
_cell_angle_beta 90.00
_cell_angle_gamma 90.00
_space_group_name_H-M_alt 'I 4 m m'
_space_group_IT_number 107
_space_group_name_Hall 'I 4 -2'
loop_
_atom_site_label
_atom_site_fract_x
_atom_site_fract_y
_atom_site_fract_z
_atom_site_occupancy
Gd1 0.0000 0.0000 0.0000 1
Pu1 0.0000 0.0000 0.6842 1
Hf1 0.0000 0.0000 0.3347 1

Which one sits at the top of the stability order? arrangement Q does.

Arrangement P

# GdHfSc GGA-PBE optimized geometry
# - Calculated volume: 155 Å³ per cell
data_GdHfSc
_cell_length_a 3.2668
_cell_length_b 3.2668
_cell_length_c 14.5468
_cell_angle_alpha 90.00
_cell_angle_beta 90.00
_cell_angle_gamma 90.00
_space_group_name_H-M_alt 'I 4 m m'
_space_group_IT_number 107
_space_group_name_Hall 'I 4 -2'
loop_
_atom_site_label
_atom_site_fract_x
_atom_site_fract_y
_atom_site_fract_z
_atom_site_occupancy
Gd1 0.0000 0.0000 0.0000 1
Hf1 0.0000 0.0000 0.6677 1
Sc1 0.0000 0.0000 0.3129 1

Arrangement Q

# GdHfSc GGA-PBE optimized geometry
# - Calculated volume: 77 Å³ per cell
data_GdHfSc
_cell_length_a 3.3014
_cell_length_b 3.3014
_cell_length_c 8.1613
_cell_angle_alpha 90.00
_cell_angle_beta 90.00
_cell_angle_gamma 120.00
_space_group_name_H-M_alt 'P 3 m 1'
_space_group_IT_number 156
_space_group_name_Hall 'P 3 -2"'
loop_
_atom_site_label
_atom_site_fract_x
_atom_site_fract_y
_atom_site_fract_z
_atom_site_occupancy
Gd1 0.0000 0.0000 0.0000 1
Hf1 0.6667 0.3333 0.3288 1
Sc1 0.3333 0.6667 0.6340 1

Which one sits at the top of the stability order? arrangement P does.

Arrangement P

# Gd2HfSc GGA-PBE optimized geometry
# - Calculated volume: 108 Å³ per cell
data_Gd2HfSc
_cell_length_a 4.7740
_cell_length_b 4.7740
_cell_length_c 4.7182
_cell_angle_alpha 90.00
_cell_angle_beta 90.00
_cell_angle_gamma 90.00
_space_group_name_H-M_alt 'P 4/m m m'
_space_group_IT_number 123
_space_group_name_Hall '-P 4 2'
loop_
_atom_site_label
_atom_site_fract_x
_atom_site_fract_y
_atom_site_fract_z
_atom_site_occupancy
Gd1 0.0000 0.5000 0.0000 1
Hf1 0.0000 0.0000 0.5000 1
Sc1 0.5000 0.5000 0.5000 1

Arrangement Q

# Gd2HfSc GGA-PBE optimized geometry
# - Calculated volume: 109 Å³ per cell
data_Gd2HfSc
_cell_length_a 3.3718
_cell_length_b 3.3718
_cell_length_c 9.5535
_cell_angle_alpha 90.00
_cell_angle_beta 90.00
_cell_angle_gamma 90.00
_space_group_name_H-M_alt 'P 4/m m m'
_space_group_IT_number 123
_space_group_name_Hall '-P 4 2'
loop_
_atom_site_label
_atom_site_fract_x
_atom_site_fract_y
_atom_site_fract_z
_atom_site_occupancy
Gd1 0.0000 0.0000 0.2404 1
Hf1 0.5000 0.5000 0.0000 1
Sc1 0.5000 0.5000 0.5000 1

Arrangement R

# Gd2HfSc GGA-PBE optimized geometry
# - Calculated volume: 328 Å³ per cell
data_Gd2HfSc
_cell_length_a 3.2770
_cell_length_b 3.2770
_cell_length_c 35.2547
_cell_angle_alpha 90.00
_cell_angle_beta 90.00
_cell_angle_gamma 120.00
_space_group_name_H-M_alt 'R -3 m'
_space_group_IT_number 166
_space_group_name_Hall '-R 3 2"'
loop_
_atom_site_label
_atom_site_fract_x
_atom_site_fract_y
_atom_site_fract_z
_atom_site_occupancy
Gd1 0.0000 0.0000 0.0880 1
Hf1 0.0000 0.0000 0.0000 1
Sc1 0.0000 0.0000 0.5000 1

Which one sits at the top of the stability order? arrangement Q does.

Arrangement P

# SmGdHf GGA-PBE optimized geometry
# - Calculated volume: 173 Å³ per cell
data_SmGdHf
_cell_length_a 3.3711
_cell_length_b 3.3711
_cell_length_c 15.2056
_cell_angle_alpha 90.00
_cell_angle_beta 90.00
_cell_angle_gamma 90.00
_space_group_name_H-M_alt 'I 4 m m'
_space_group_IT_number 107
_space_group_name_Hall 'I 4 -2'
loop_
_atom_site_label
_atom_site_fract_x
_atom_site_fract_y
_atom_site_fract_z
_atom_site_occupancy
Sm1 0.0000 0.0000 0.0000 1
Gd1 0.0000 0.0000 0.6929 1
Hf1 0.0000 0.0000 0.3450 1

Arrangement Q

# SmGdHf GGA-PBE optimized geometry
# - Calculated volume: 86 Å³ per cell
data_SmGdHf
_cell_length_a 3.4080
_cell_length_b 3.4080
_cell_length_c 8.5695
_cell_angle_alpha 90.00
_cell_angle_beta 90.00
_cell_angle_gamma 120.00
_space_group_name_H-M_alt 'P 3 m 1'
_space_group_IT_number 156
_space_group_name_Hall 'P 3 -2"'
loop_
_atom_site_label
_atom_site_fract_x
_atom_site_fract_y
_atom_site_fract_z
_atom_site_occupancy
Sm1 0.0000 0.0000 0.0000 1
Gd1 0.3333 0.6667 0.6177 1
Hf1 0.6667 0.3333 0.3103 1

Which one sits at the top of the stability order? arrangement P does.

Arrangement P

# SmGd2Hf GGA-PBE optimized geometry
# - Calculated volume: 118 Å³ per cell
data_SmGd2Hf
_cell_length_a 3.4233
_cell_length_b 3.4233
_cell_length_c 10.0720
_cell_angle_alpha 90.00
_cell_angle_beta 90.00
_cell_angle_gamma 90.00
_space_group_name_H-M_alt 'P 4/m m m'
_space_group_IT_number 123
_space_group_name_Hall '-P 4 2'
loop_
_atom_site_label
_atom_site_fract_x
_atom_site_fract_y
_atom_site_fract_z
_atom_site_occupancy
Sm1 0.0000 0.0000 0.0000 1
Gd1 0.5000 0.5000 0.2736 1
Hf1 0.0000 0.0000 0.5000 1

Arrangement Q

# SmGd2Hf GGA-PBE optimized geometry
# - Calculated volume: 117 Å³ per cell
data_SmGd2Hf
_cell_length_a 4.8796
_cell_length_b 4.8796
_cell_length_c 4.8994
_cell_angle_alpha 90.00
_cell_angle_beta 90.00
_cell_angle_gamma 90.00
_space_group_name_H-M_alt 'P 4/m m m'
_space_group_IT_number 123
_space_group_name_Hall '-P 4 2'
loop_
_atom_site_label
_atom_site_fract_x
_atom_site_fract_y
_atom_site_fract_z
_atom_site_occupancy
Sm1 0.0000 0.0000 0.0000 1
Gd1 0.0000 0.5000 0.5000 1
Hf1 0.5000 0.5000 0.0000 1

Arrangement R

# SmGd2Hf GGA-PBE optimized geometry
# - Calculated volume: 356 Å³ per cell
data_SmGd2Hf
_cell_length_a 3.3628
_cell_length_b 3.3628
_cell_length_c 36.3985
_cell_angle_alpha 90.00
_cell_angle_beta 90.00
_cell_angle_gamma 120.00
_space_group_name_H-M_alt 'R -3 m'
_space_group_IT_number 166
_space_group_name_Hall '-R 3 2"'
loop_
_atom_site_label
_atom_site_fract_x
_atom_site_fract_y
_atom_site_fract_z
_atom_site_occupancy
Sm1 0.0000 0.0000 0.0000 1
Gd1 0.0000 0.0000 0.4151 1
Hf1 0.0000 0.0000 0.5000 1

Which one sits at the top of the stability order? arrangement P does.